1.
Density functional theory data (GGA-PBE) for a geometry-optimized LiAcNdOs structure.

Values from the calculation:
- E_tot (eV/atom) = -5.502

The structure in CIF format:
```
data_LiAcNdOs
_cell_length_a 7.340
_cell_length_b 7.340
_cell_length_c 7.340
_cell_angle_alpha 90.00
_cell_angle_beta 90.00
_cell_angle_gamma 90.00
_space_group_name_H-M_alt 'F -4 3 m'
_space_group_IT_number 216
_space_group_name_Hall 'F -4 2 3'
loop_
_atom_site_label
_atom_site_fract_x
_atom_site_fract_y
_atom_site_fract_z
Li1 0.000 0.000 0.000
Ac1 0.250 0.250 0.750
Nd1 0.250 0.250 0.250
Os1 0.000 0.000 0.500
```



2.
Density functional theory data (GGA-PBE) for a geometry-optimized Li2Ac2NdPb2 structure.

Values from the calculation:
- E_tot (eV/atom) = -3.805

The structure in CIF format:
```
data_Li2Ac2NdPb2
_cell_length_a 4.8987
_cell_length_b 4.8987
_cell_length_c 31.9672
_cell_angle_alpha 90.00
_cell_angle_beta 90.00
_cell_angle_gamma 120.00
_space_group_name_H-M_alt 'R -3 m'
_space_group_IT_number 166
_space_group_name_Hall '-R 3 2"'
loop_
_atom_site_label
_atom_site_fract_x
_atom_site_fract_y
_atom_site_fract_z
Li1 0.0000 0.0000 0.1167
Ac1 0.0000 0.0000 0.3779
Nd1 0.0000 0.0000 0.5000
Pb1 0.0000 0.0000 0.2251
```



3.
Density functional theory data (GGA-PBE) for a geometry-optimized LiAcNdPd structure.

Values from the calculation:
- E_tot (eV/atom) = -4.278

The structure in CIF format:
```
data_LiAcNdPd
_cell_length_a 7.556
_cell_length_b 7.556
_cell_length_c 7.556
_cell_angle_alpha 90.00
_cell_angle_beta 90.00
_cell_angle_gamma 90.00
_space_group_name_H-M_alt 'F -4 3 m'
_space_group_IT_number 216
_space_group_name_Hall 'F -4 2 3'
loop_
_atom_site_label
_atom_site_fract_x
_atom_site_fract_y
_atom_site_fract_z
Li1 0.000 0.000 0.000
Ac1 0.250 0.250 0.750
Nd1 0.250 0.250 0.250
Pd1 0.000 0.000 0.500
```



4.
Density functional theory data (GGA-PBE) for a geometry-optimized LiAcPmNd structure.

Values from the calculation:
- E_tot (eV/atom) = -3.662

The structure in CIF format:
```
data_LiAcPmNd
_cell_length_a 8.207
_cell_length_b 8.207
_cell_length_c 8.207
_cell_angle_alpha 90.00
_cell_angle_beta 90.00
_cell_angle_gamma 90.00
_space_group_name_H-M_alt 'F -4 3 m'
_space_group_IT_number 216
_space_group_name_Hall 'F -4 2 3'
loop_
_atom_site_label
_atom_site_fract_x
_atom_site_fract_y
_atom_site_fract_z
Li1 0.000 0.000 0.000
Ac1 0.000 0.000 0.500
Pm1 0.250 0.250 0.750
Nd1 0.250 0.250 0.250
```



5.
Density functional theory data (GGA-PBE) for a geometry-optimized LiAcPrNd structure.

Values from the calculation:
- E_tot (eV/atom) = -3.679

The structure in CIF format:
```
data_LiAcPrNd
_cell_length_a 8.247
_cell_length_b 8.247
_cell_length_c 8.247
_cell_angle_alpha 90.00
_cell_angle_beta 90.00
_cell_angle_gamma 90.00
_space_group_name_H-M_alt 'F -4 3 m'
_space_group_IT_number 216
_space_group_name_Hall 'F -4 2 3'
loop_
_atom_site_label
_atom_site_fract_x
_atom_site_fract_y
_atom_site_fract_z
Li1 0.000 0.000 0.000
Ac1 0.000 0.000 0.500
Pr1 0.250 0.250 0.250
Nd1 0.250 0.250 0.750
```



6.
Density functional theory data (GGA-PBE) for a geometry-optimized LiAc3Nd3S8 structure.

Values from the calculation:
- E_tot (eV/atom) = -6.071
- E_form (uncorrected) (meV per atom) = -1967.0

The structure in CIF format:
```
data_LiAc3Nd3S8
_cell_length_a 8.2538
_cell_length_b 8.2538
_cell_length_c 20.5596
_cell_angle_alpha 90.00
_cell_angle_beta 90.00
_cell_angle_gamma 120.00
_space_group_name_H-M_alt 'R -3 m'
_space_group_IT_number 166
_space_group_name_Hall '-R 3 2"'
loop_
_atom_site_label
_atom_site_fract_x
_atom_site_fract_y
_atom_site_fract_z
Li1 0.0000 0.0000 0.0000
Ac1 0.0000 0.5000 0.5000
Nd1 0.0000 0.5000 0.0000
S1 0.0000 0.0000 0.2553
S2 0.0064 0.5032 0.7436
```



7.
Density functional theory data (GGA-PBE) for a geometry-optimized LiAc2Nd3S6 structure.

Values from the calculation:
- E_tot (eV/atom) = -6.033
- E_form (uncorrected) (meV per atom) = -1932.8

The structure in CIF format:
```
data_LiAc2Nd3S6
_cell_length_a 7.116
_cell_length_b 12.365
_cell_length_c 7.232
_cell_angle_alpha 90.00
_cell_angle_beta 109.32
_cell_angle_gamma 90.00
_space_group_name_H-M_alt 'C 1 2/m 1'
_space_group_IT_number 12
loop_
_space_group_symop_operation_xyz
'x,y,z'
'-x,-y,-z'
'-x,y,-z'
'x,-y,z'
'x+1/2,y+1/2,z'
'-x+1/2,-y+1/2,-z'
'-x+1/2,y+1/2,-z'
'x+1/2,-y+1/2,z'
loop_
_atom_site_label
_atom_site_fract_x
_atom_site_fract_y
_atom_site_fract_z
Li1 0.000 0.000 0.000
Ac1 0.000 0.334 0.000
Nd1 0.000 0.166 0.500
Nd2 0.000 0.500 0.500
S1 0.235 0.000 0.746
S2 0.246 0.161 0.256
```



8.
Density functional theory data (GGA-PBE) for a geometry-optimized LiAc2NdS5 structure.

Values from the calculation:
- E_tot (eV/atom) = -5.943
- E_form (uncorrected) (meV per atom) = -1994.3

The structure in CIF format:
```
data_LiAc2NdS5
_cell_length_a 4.187
_cell_length_b 17.153
_cell_length_c 12.383
_cell_angle_alpha 90.00
_cell_angle_beta 90.00
_cell_angle_gamma 90.00
_space_group_name_H-M_alt 'C m c 21'
_space_group_IT_number 36
loop_
_space_group_symop_operation_xyz
'x,y,z'
'-x,-y,z+1/2'
'-x,y,z'
'x,-y,z+1/2'
'x+1/2,y+1/2,z'
'-x+1/2,-y+1/2,z+1/2'
'-x+1/2,y+1/2,z'
'x+1/2,-y+1/2,z+1/2'
loop_
_atom_site_label
_atom_site_fract_x
_atom_site_fract_y
_atom_site_fract_z
Li1 0.000 0.013 0.000
Ac1 0.000 0.378 0.818
Ac2 0.000 0.389 0.202
Nd1 0.000 0.304 0.519
S1 0.000 0.002 0.804
S2 0.000 0.137 0.518
S3 0.000 0.194 0.863
S4 0.000 0.209 0.176
S5 0.000 0.456 0.582
```



9.
Density functional theory data (GGA-PBE) for a geometry-optimized LiAcNd2S4 structure.

Values from the calculation:
- E_tot (eV/atom) = -5.877
- E_form (uncorrected) (meV per atom) = -1868.8

The structure in CIF format:
```
data_LiAcNd2S4
_cell_length_a 4.041
_cell_length_b 13.483
_cell_length_c 14.034
_cell_angle_alpha 90.00
_cell_angle_beta 90.00
_cell_angle_gamma 90.00
_space_group_name_H-M_alt 'C m c m'
_space_group_IT_number 63
_space_group_name_Hall '-C 2c 2'
loop_
_atom_site_label
_atom_site_fract_x
_atom_site_fract_y
_atom_site_fract_z
Li1 0.000 0.148 0.250
Ac1 0.000 0.118 0.750
Nd1 0.000 0.367 0.555
S1 0.000 0.000 0.000
S2 0.000 0.272 0.127
S3 0.000 0.451 0.750
```



10.
Density functional theory data (GGA-PBE) for a geometry-optimized LiAc4Nd3Se8 structure.

Values from the calculation:
- E_tot (eV/atom) = -5.586
- E_form (uncorrected) (meV per atom) = -1803.0

The structure in CIF format:
```
data_LiAc4Nd3Se8
_cell_length_a 8.6951
_cell_length_b 8.6951
_cell_length_c 21.0875
_cell_angle_alpha 90.00
_cell_angle_beta 90.00
_cell_angle_gamma 120.00
_space_group_name_H-M_alt 'R -3 m'
_space_group_IT_number 166
_space_group_name_Hall '-R 3 2"'
loop_
_atom_site_label
_atom_site_fract_x
_atom_site_fract_y
_atom_site_fract_z
Li1 0.0000 0.0000 0.0000
Ac1 0.0000 0.0000 0.5000
Ac2 0.0000 0.5000 0.5000
Nd1 0.0000 0.5000 0.0000
Se1 0.0000 0.0000 0.2547
Se2 0.0083 0.5042 0.7431
```



11.
Density functional theory data (GGA-PBE) for a geometry-optimized LiAcNd2Se4 structure.

Values from the calculation:
- E_tot (eV/atom) = -5.408
- E_form (uncorrected) (meV per atom) = -1720.7

The structure in CIF format:
```
data_LiAcNd2Se4
_cell_length_a 4.202
_cell_length_b 14.020
_cell_length_c 14.663
_cell_angle_alpha 90.00
_cell_angle_beta 90.00
_cell_angle_gamma 90.00
_space_group_name_H-M_alt 'C m c m'
_space_group_IT_number 63
_space_group_name_Hall '-C 2c 2'
loop_
_atom_site_label
_atom_site_fract_x
_atom_site_fract_y
_atom_site_fract_z
Li1 0.000 0.148 0.250
Ac1 0.000 0.119 0.750
Nd1 0.000 0.366 0.556
Se1 0.000 0.000 0.000
Se2 0.000 0.274 0.126
Se3 0.000 0.453 0.750
```



12.
Density functional theory data (GGA-PBE) for a geometry-optimized LiAc3Nd4Se8 structure.

Values from the calculation:
- E_tot (eV/atom) = -5.622
- E_form (uncorrected) (meV per atom) = -1797.5

The structure in CIF format:
```
data_LiAc3Nd4Se8
_cell_length_a 8.5883
_cell_length_b 8.5883
_cell_length_c 21.3072
_cell_angle_alpha 90.00
_cell_angle_beta 90.00
_cell_angle_gamma 120.00
_space_group_name_H-M_alt 'R -3 m'
_space_group_IT_number 166
_space_group_name_Hall '-R 3 2"'
loop_
_atom_site_label
_atom_site_fract_x
_atom_site_fract_y
_atom_site_fract_z
Li1 0.0000 0.0000 0.0000
Ac1 0.0000 0.5000 0.0000
Nd1 0.0000 0.0000 0.5000
Nd2 0.0000 0.5000 0.5000
Se1 0.0000 0.0000 0.2451
Se2 0.0126 0.5063 0.7516
```